A.
An optimized crystal structure of Y2TmMg. Source: the Alexandria database, functional GGA-PBE.

Unit cell a=3.4905 b=3.4905 c=34.1615 alpha=90.00 beta=90.00 gamma=120.00
Space group R3m (No. 160, hexagonal axes)
Unique sites:
Y1 0.0000 0.0000 0.0000 [3 per cell]
Y2 0.0000 0.0000 0.1655 [3 per cell]
Tm1 0.0000 0.0000 0.5826 [3 per cell]
Mg1 0.0000 0.0000 0.7494 [3 per cell]

=====

B.
An optimized crystal structure of Y2TmMg. Source: the Alexandria database, functional GGA-PBE.

Unit cell a=5.4164 b=5.4164 c=4.0374 alpha=90.00 beta=90.00 gamma=90.00
Space group P4/mmm (No. 123)
Unique sites:
Y1 0.0000 0.5000 0.0000 [2 per cell]
Tm1 0.0000 0.0000 0.5000 [1 per cell]
Mg1 0.5000 0.5000 0.5000 [1 per cell]

=====

C.
An optimized crystal structure of Y2TmMg. Source: the Alexandria database, functional GGA-PBE.

Unit cell a=3.5912 b=3.5912 c=9.1834 alpha=90.00 beta=90.00 gamma=90.00
Space group P4/mmm (No. 123)
Unique sites:
Y1 0.0000 0.0000 0.2366 [2 per cell]
Tm1 0.5000 0.5000 0.5000 [1 per cell]
Mg1 0.5000 0.5000 0.0000 [1 per cell]

=====

Bottom line: C, by a margin of 6.0 kJ/mol of atoms.